Record 1
The following is a PBE-GGA calculation of crystalline Bi3Pd4Au2 at its relaxed geometry, from Alexandria via LeMat-Bulk.

abc: 7.4260 7.4260 7.2878
angles: 104.40 104.40 89.01
With the nearest neighbours (Å) after each atom.
Fractional positions:
Bi (0.1052, 0.8948, 0.7500)  6 Pd 2.78-3.05
Bi (0.2631, 0.4094, 0.1370)  4 Pd 2.69-2.89, 1 Au 2.98
Bi (0.4094, 0.2631, 0.6370)  4 Pd 2.69-2.89, 1 Au 2.98
Bi (0.5906, 0.7369, 0.3630)  4 Pd 2.69-2.89, 1 Au 2.98
Bi (0.7369, 0.5906, 0.8630)  4 Pd 2.69-2.89, 1 Au 2.98
Bi (0.8948, 0.1052, 0.2500)  6 Pd 2.78-3.05
Pd (0.0653, 0.7676, 0.0661)  2 Pd 2.65-2.78, 3 Bi 2.69-2.96, 1 Au 2.92
Pd (0.2324, 0.9347, 0.4339)  2 Pd 2.65-2.78, 3 Bi 2.69-2.96, 1 Au 2.92
Pd (0.3367, 0.6078, 0.5446)  3 Pd 2.78-3.00, 4 Bi 2.81-3.05, 3 Au 2.88-3.10
Pd (0.3922, 0.6633, 0.9554)  3 Pd 2.78-3.00, 4 Bi 2.81-3.05, 3 Au 2.88-3.10
Pd (0.6078, 0.3367, 0.0446)  3 Pd 2.78-3.00, 4 Bi 2.81-3.05, 3 Au 2.88-3.10
Pd (0.6633, 0.3922, 0.4554)  3 Pd 2.78-3.00, 4 Bi 2.81-3.05, 3 Au 2.88-3.10
Pd (0.7676, 0.0653, 0.5661)  2 Pd 2.65-2.78, 3 Bi 2.69-2.96, 1 Au 2.92
Pd (0.9347, 0.2324, 0.9339)  2 Pd 2.65-2.78, 3 Bi 2.69-2.96, 1 Au 2.92
Au (0.0471, 0.4263, 0.6742)  4 Pd 2.88-3.10, 1 Au 2.93, 2 Bi 2.98-3.06
Au (0.4263, 0.0471, 0.1742)  4 Pd 2.88-3.10, 1 Au 2.93, 2 Bi 2.98-3.06
Au (0.5737, 0.9529, 0.8258)  4 Pd 2.88-3.10, 1 Au 2.93, 2 Bi 2.98-3.06
Au (0.9529, 0.5737, 0.3258)  4 Pd 2.88-3.10, 1 Au 2.93, 2 Bi 2.98-3.06

Results
**Offset from the most stable computed form**: 32 meV per atom
**Formation energy from the elements**: -0.14 eV/atom
**Space group**: C2/c (15)
**Spin magnetization**: 0.00 μB/atom
**E**: -4.474 eV/atom

***

Record 2
The following is a PBE-GGA calculation of crystalline Pm3Mo2N6 at its relaxed geometry, from Alexandria via LeMat-Bulk.

abc: 10.0900 10.0900 10.0900
angles: 157.21 157.21 32.46
With the nearest neighbours (Å) after each atom.
Fractional positions:
Pm (0.0000, 0.0000, 0.0000)  8 N 2.59
Pm (0.1796, 0.1796, 0.0000)  1 N 2.35
Pm (0.8204, 0.8204, 0.0000)  1 N 2.35
Mo (0.4015, 0.4015, 0.0000)  5 N 1.95-2.01
Mo (0.5985, 0.5985, 0.0000)  5 N 1.95-2.01
N (0.0857, 0.5857, 0.5000)  2 Mo 2.01
N (0.3011, 0.3011, 0.0000)  1 Mo 1.95
N (0.4143, 0.9143, 0.5000)  2 Mo 2.01
N (0.5857, 0.0857, 0.5000)  2 Mo 2.01
N (0.6989, 0.6989, 0.0000)  1 Mo 1.95
N (0.9143, 0.4143, 0.5000)  2 Mo 2.01

Results
**E_form (uncorrected)**: -1006 meV per atom
**Space group**: I4/mmm (139)
**Spin magnetization**: 0.00 μB/atom
**E**: -8.812 eV/atom